P.
In2I2Br: relaxed, PBE.

Summary:
**SG**: P1, No. 1
**N(E_F)**: 0.0 states/eV/f.u.

Cell lengths 7.0777, 7.3914, 9.6266 Å; angles 80.59, 78.52, 70.10 degrees
Closest atoms and distances in Å follow each position.
Atoms (fractional coordinates):
Br 0.1308 0.7981 0.5665  1 In 2.59
I 0.8987 0.5470 0.9634  3 In 3.22-3.39
Br 0.2543 0.9803 0.1312  1 In 2.59
I 0.6434 0.0353 0.3254  1 In 2.72
I 0.0161 0.4011 0.4373  1 In 2.74
In 0.0703 0.1573 0.8070  2 I 3.22-3.42, 1 Br 3.50
In 0.3561 0.4074 0.0758  2 I 3.24-3.39, 1 Br 3.41
In 0.6710 0.7766 0.6932  2 I 3.26-3.31, 1 Br 3.29
I 0.5774 0.2163 0.7813  3 In 3.24-3.42
In 0.0026 0.0633 0.3642  2 Br 2.59, 2 I 2.72-2.74

---

Q.
In2I2Br: relaxed, PBE.

Summary:
**SG**: Cm, No. 8
**N(E_F)**: 0.7 states/eV/f.u.

Cell lengths 5.7769, 8.5451, 8.9054 Å; angles 90.00, 91.10, 90.00 degrees
Closest atoms and distances in Å follow each position.
Atoms (fractional coordinates):
Br 0.4060 0.5000 0.5359  3 In 2.88-3.08
Br 0.4060 0.0000 0.0359  3 In 2.88-3.08
I 0.9033 0.2415 0.2810  2 In 3.02-3.16
In 0.4387 0.5000 0.8815  1 Br 3.08
In 0.9076 0.0000 0.0128  2 Br 2.88-2.91, 4 I 3.02-3.16
I 0.9033 0.7585 0.2810  2 In 3.02-3.16
I 0.9033 0.2585 0.7810  2 In 3.02-3.16
In 0.9076 0.5000 0.5128  2 Br 2.88-2.91, 4 I 3.02-3.16
I 0.9033 0.7415 0.7810  2 In 3.02-3.16
In 0.4387 0.0000 0.3815  1 Br 3.08

---

R.
In2I2Br: relaxed, PBE.

Summary:
**SG**: P4/mbm, No. 127
**N(E_F)**: 5.3 states/eV/f.u.

Cell lengths 8.7273, 8.7273, 4.5819 Å; angles 90.00, 90.00, 90.00 degrees
Closest atoms and distances in Å follow each position.
Atoms (fractional coordinates):
I 0.6458 0.8542 0.5000  2 In 3.16
Br 0.5000 0.5000 0.0000  4 In 3.21
I 0.1458 0.6458 0.5000  2 In 3.16
I 0.3542 0.1458 0.5000  2 In 3.16
I 0.8542 0.3542 0.5000  2 In 3.16
Br 0.0000 0.0000 0.0000  4 In 3.21
In 0.6783 0.1783 0.0000  2 I 3.16, 2 Br 3.21
In 0.1783 0.3217 0.0000  2 I 3.16, 2 Br 3.21
In 0.3217 0.8217 0.0000  2 I 3.16, 2 Br 3.21
In 0.8217 0.6783 0.0000  2 I 3.16, 2 Br 3.21

---

What should be chosen as the least stable of them? Choose R.

---

P.
In2I2Br: relaxed, PBE.

Summary:
**SG**: P4/mmm, No. 123
**N(E_F)**: 1.8 states/eV/f.u.

Cell lengths 4.4080, 4.4080, 9.6446 Å; angles 90.00, 90.00, 90.00 degrees
Closest atoms and distances in Å follow each position.
Atoms (fractional coordinates):
I 0.0000 0.0000 0.3122  1 In 3.01
I 0.0000 0.0000 0.6878  1 In 3.01
In 0.0000 0.0000 0.0000  2 I 3.01, 4 Br 3.12
In 0.5000 0.5000 0.5000  8 I 3.61
Br 0.5000 0.5000 0.0000  4 In 3.12

---

Q.
In2I2Br: relaxed, PBE.

Summary:
**SG**: Cm, No. 8
**N(E_F)**: 0.8 states/eV/f.u.

Cell lengths 6.1198, 4.5931, 16.2818 Å; angles 90.00, 111.34, 90.00 degrees
Closest atoms and distances in Å follow each position.
Atoms (fractional coordinates):
I 0.5861 0.0000 0.2741  2 In 3.07
In 0.0729 0.5000 0.7607  4 I 3.07-3.16, 2 Br 3.07
In 0.7564 0.0000 0.9495  2 Br 3.16-3.18, 4 I 3.43-3.51
In 0.0729 0.0000 0.2607  4 I 3.07-3.16, 2 Br 3.07
I 0.5861 0.5000 0.7741  2 In 3.07
Br 0.2023 0.0000 0.8948  4 In 3.07-3.18
I 0.9337 0.0000 0.6171  4 In 3.16-3.43
I 0.9337 0.5000 0.1171  4 In 3.16-3.43
In 0.7564 0.5000 0.4495  2 Br 3.16-3.18, 4 I 3.43-3.51
Br 0.2023 0.5000 0.3948  4 In 3.07-3.18

---

R.
In2I2Br: relaxed, PBE.

Summary:
**SG**: P1, No. 1
**N(E_F)**: 1.5 states/eV/f.u.

Cell lengths 4.4175, 5.5626, 8.8153 Å; angles 108.18, 90.08, 90.00 degrees
Closest atoms and distances in Å follow each position.
Atoms (fractional coordinates):
I 0.9179 0.7369 0.8470  2 In 3.09-3.10
In 0.4180 0.8643 0.1059  2 Br 2.79, 2 I 3.09-3.10
Br 0.4196 0.3771 0.1315  2 In 2.79
I 0.9199 0.0136 0.4081  6 In 3.36-3.68
In 0.4154 0.5668 0.5149  1 Br 3.21, 2 I 3.55-3.56

---

What should be chosen as the least stable of them? Choose P.

---

P.
In2I2Br: relaxed, PBE.

Summary:
**SG**: P1, No. 1
**N(E_F)**: 0.0 states/eV/f.u.

Cell lengths 5.3364, 8.9352, 10.0576 Å; angles 99.76, 104.51, 91.12 degrees
Closest atoms and distances in Å follow each position.
Atoms (fractional coordinates):
I 0.7913 0.0190 0.8179  1 In 2.74
Br 0.1567 0.9132 0.4859  1 In 2.59
I 0.4849 0.8277 0.0907  5 In 3.36-3.55
In 0.9193 0.6322 0.9206  4 I 3.23-3.54
Br 0.6518 0.2305 0.4236  1 In 2.59
In 0.9801 0.1390 0.6263  2 Br 2.59, 2 I 2.74-2.77
In 0.6332 0.6316 0.3548  3 I 3.32-3.41, 1 Br 3.55
I 0.3098 0.3956 0.7481  1 In 2.77
In 0.0403 0.0787 0.2026  3 Br 3.36-3.55, 4 I 3.44-3.70
I 0.0360 0.4591 0.1841  4 In 3.23-3.44

---

Q.
In2I2Br: relaxed, PBE.

Summary:
**SG**: P1, No. 1

Cell lengths 6.9225, 8.1434, 9.1476 Å; angles 66.01, 82.39, 70.10 degrees
Closest atoms and distances in Å follow each position.
Atoms (fractional coordinates):
In 0.8504 0.0353 0.1784  1 Br 2.85
Br 0.2579 0.0318 0.7737  1 In 2.60
I 0.7708 0.3153 0.3901  1 In 2.84
In 0.1535 0.3428 0.9282  2 Br 3.21-3.46, 2 I 3.43-3.50
I 0.0570 0.7318 0.5741  1 In 2.98
I 0.8033 0.7581 0.9849  1 In 2.87
In 0.3437 0.7427 0.2319  1 Br 2.91
Br 0.4393 0.0421 0.2744  2 In 2.85-2.91
In 0.9045 0.0380 0.6998  1 Br 2.60, 2 I 2.84-2.87
I 0.6573 0.3414 0.8192  2 In 3.01-3.32

---

What should be chosen as the least stable of them? Choose Q.

---

P.
In2I2Br: relaxed, PBE.

Summary:
**SG**: C2/m, No. 12
**N(E_F)**: 1.9 states/eV/f.u.

Cell lengths 6.3251, 8.1100, 10.1186 Å; angles 62.31, 71.79, 67.05 degrees
Closest atoms and distances in Å follow each position.
Atoms (fractional coordinates):
In 0.4866 0.2413 0.7855  2 Br 2.95-2.98, 2 I 3.18
In 0.1780 0.2490 0.3951  1 Br 2.98, 3 I 3.17-3.30
I 0.3295 0.7546 0.5864  3 In 3.17-3.42
In 0.8220 0.7510 0.6049  1 Br 2.98, 3 I 3.17-3.30
I 0.6705 0.2454 0.4136  3 In 3.17-3.42
I 0.0117 0.7289 0.2476  4 In 3.18-3.50
In 0.5134 0.7587 0.2145  2 Br 2.95-2.98, 2 I 3.18
Br 0.6485 0.8087 0.8942  3 In 2.95-2.98
Br 0.3515 0.1913 0.1058  3 In 2.95-2.98
I 0.9883 0.2711 0.7524  4 In 3.18-3.50

---

Q.
In2I2Br: relaxed, PBE.

Summary:
**SG**: C2/m, No. 12
**N(E_F)**: 3.7 states/eV/f.u.

Cell lengths 4.2717, 6.7053, 7.9338 Å; angles 65.93, 74.38, 71.43 degrees
Closest atoms and distances in Å follow each position.
Atoms (fractional coordinates):
I 0.3242 0.1948 0.6568  3 In 3.18-3.29
I 0.6758 0.8052 0.3432  3 In 3.18-3.29
In 0.9354 0.3217 0.3074  2 Br 3.08, 3 I 3.18-3.29
Br 0.5000 0.5000 0.0000  4 In 3.08
In 0.0646 0.6783 0.6926  2 Br 3.08, 3 I 3.18-3.29

---

What should be chosen as the least stable of them? Choose Q.

---

P.
In4I3Br2: relaxed, PBE.

Summary:
**SG**: C2/m, No. 12
**N(E_F)**: 4.3 states/eV/f.u.

Cell lengths 4.6056, 7.9189, 11.4106 Å; angles 67.04, 78.36, 73.09 degrees
Closest atoms and distances in Å follow each position.
Atoms (fractional coordinates):
I 0.3252 0.5545 0.7950  5 In 3.35-3.47
Br 0.6560 0.0562 0.6318  4 In 3.04-3.16
I 0.6748 0.4455 0.2050  5 In 3.35-3.47
In 0.8717 0.7091 0.5476  3 Br 3.09-3.16
Br 0.3440 0.9438 0.3682  4 In 3.04-3.16
In 0.3426 0.2210 0.0937  1 Br 3.04, 5 I 3.23-3.40
I 0.0000 0.0000 0.0000  4 In 3.23
In 0.6574 0.7790 0.9063  1 Br 3.04, 5 I 3.23-3.40
In 0.1283 0.2909 0.4524  3 Br 3.09-3.16

---

Q.
In4I3Br2: relaxed, PBE.

Summary:
**SG**: C2/c, No. 15
**N(E_F)**: 3.8 states/eV/f.u.

Cell lengths 6.6908, 10.4356, 10.4356 Å; angles 77.56, 84.50, 84.50 degrees
Closest atoms and distances in Å follow each position.
Atoms (fractional coordinates):
I 0.2500 0.6207 0.3793  2 In 3.09
In 0.4176 0.4245 0.2042  2 Br 2.94-3.04, 2 I 3.09-3.26
In 0.9176 0.2042 0.4245  2 Br 2.94-3.04, 2 I 3.09-3.26
In 0.5824 0.5755 0.7958  2 Br 2.94-3.04, 2 I 3.09-3.26
Br 0.6259 0.8099 0.5836  2 In 2.94-3.04
In 0.0330 0.7405 0.0647  2 Br 3.39-3.58, 5 I 3.42-3.64
Br 0.8741 0.4164 0.1901  2 In 2.94-3.04
In 0.9670 0.2595 0.9353  2 Br 3.39-3.58, 5 I 3.42-3.64
I 0.4631 0.2228 0.0020  5 In 3.26-3.57
Br 0.1259 0.5836 0.8099  2 In 2.94-3.04
In 0.4670 0.9353 0.2595  2 Br 3.39-3.58, 5 I 3.42-3.64
In 0.0824 0.7958 0.5755  2 Br 2.94-3.04, 2 I 3.09-3.26
I 0.0369 0.9980 0.7772  5 In 3.26-3.57
Br 0.3741 0.1901 0.4164  2 In 2.94-3.04
In 0.5330 0.0647 0.7405  2 Br 3.39-3.58, 5 I 3.42-3.64
I 0.7500 0.3793 0.6207  2 In 3.09
I 0.5369 0.7772 0.9980  5 In 3.26-3.57
I 0.9631 0.0020 0.2228  5 In 3.26-3.57

---

What should be chosen as the least stable of them? Choose Q.

---

P.
In4IBr3: relaxed, PBE.

Summary:
**SG**: C2/m, No. 12

Cell lengths 4.7826, 8.2956, 8.2956 Å; angles 70.55, 89.78, 89.78 degrees
Closest atoms and distances in Å follow each position.
Atoms (fractional coordinates):
In 0.5045 0.7554 0.2553  5 Br 3.31-3.40, 1 I 3.46
In 0.0000 0.2392 0.2609  4 Br 3.31-3.39, 2 I 3.46
Br 0.0000 0.0001 0.0000  6 In 3.37-3.40
In 0.0000 0.7611 0.7390  4 Br 3.31-3.39, 2 I 3.46
Br 0.9999 0.5001 0.5000  6 In 3.37-3.40
Br 0.5000 0.0001 0.4999  6 In 3.31
I 0.5000 0.5002 0.9999  6 In 3.46
In 0.4954 0.2447 0.7446  5 Br 3.31-3.40, 1 I 3.46

---

Q.
In4IBr3: relaxed, PBE.

Summary:
**SG**: Pmn2_1, No. 31
**N(E_F)**: 0.0 states/eV/f.u.

Cell lengths 6.6253, 11.1673, 9.3845 Å; angles 90.00, 90.00, 90.00 degrees
Closest atoms and distances in Å follow each position.
Atoms (fractional coordinates):
Br 0.0648 0.6664 0.7797  5 In 3.07-3.40
In 0.5642 0.6294 0.8074  4 Br 3.22-3.40, 1 I 3.26
Br 0.5648 0.3336 0.7203  5 In 3.07-3.40
Br 0.0648 0.6664 0.2203  5 In 3.07-3.40
I 0.0648 0.2354 0.0000  4 In 3.26-3.40
In 0.0642 0.3706 0.6926  4 Br 3.22-3.40, 1 I 3.26
In 0.5646 0.1679 0.0000  3 Br 3.21-3.34, 2 I 3.40
Br 0.0640 0.1317 0.5000  5 In 3.22-3.34
Br 0.5640 0.8683 0.0000  5 In 3.22-3.34
I 0.5648 0.7646 0.5000  4 In 3.26-3.40
In 0.5641 0.1298 0.5000  4 Br 3.07-3.31
In 0.0642 0.3706 0.3074  4 Br 3.22-3.40, 1 I 3.26
Br 0.5648 0.3336 0.2797  5 In 3.07-3.40
In 0.0646 0.8321 0.5000  3 Br 3.21-3.34, 2 I 3.40
In 0.0641 0.8702 0.0000  4 Br 3.07-3.31
In 0.5642 0.6294 0.1926  4 Br 3.22-3.40, 1 I 3.26

---

What should be chosen as the least stable of them? Choose Q.